! GGA-PBE Ba2SmMgTe5, relaxed; values from VASP
! **Formation energy (no corrections)**: -1.332 eV per atom
&SYSTEM
  ibrav = 0, nat = 18, ntyp = 4
/
ATOMIC_SPECIES
Ba 137.33 Ba.upf
Sm 150.36 Sm.upf
Mg 24.30 Mg.upf
Te 127.60 Te.upf
ATOMIC_POSITIONS crystal
Ba 0.112 0.888 0.500
Ba 0.127 0.873 0.129
Ba 0.873 0.127 0.629
Ba 0.888 0.112 0.000
Sm 0.209 0.791 0.827
Sm 0.791 0.209 0.327
Mg 0.442 0.558 0.257
Mg 0.558 0.442 0.757
Te 0.053 0.947 0.865
Te 0.292 0.708 0.476
Te 0.308 0.692 0.176
Te 0.362 0.638 0.818
Te 0.496 0.504 0.583
Te 0.504 0.496 0.083
Te 0.638 0.362 0.318
Te 0.692 0.308 0.676
Te 0.708 0.292 0.976
Te 0.947 0.053 0.365
CELL_PARAMETERS angstrom
2.346 -10.072 0.000
2.346 10.072 0.000
0.000 0.000 14.130



! GGA-PBE BaSmMg2Tl4, relaxed; values from VASP
! **DFT formation energy**: -0.28 eV per atom
&SYSTEM
  ibrav = 0, nat = 8, ntyp = 4
/
ATOMIC_SPECIES
Ba 137.33 Ba.upf
Sm 150.36 Sm.upf
Mg 24.30 Mg.upf
Tl 204.38 Tl.upf
ATOMIC_POSITIONS crystal
Ba 0.000 0.000 0.000
Sm 0.500 0.500 0.500
Mg 0.236 0.236 0.236
Mg 0.764 0.764 0.764
Tl 0.122 0.122 0.122
Tl 0.396 0.396 0.396
Tl 0.604 0.604 0.604
Tl 0.878 0.878 0.878
CELL_PARAMETERS angstrom
2.491 1.438 11.327
-2.491 1.438 11.327
0.000 -2.877 11.327



! GGA-PBE Ba2MgSn, relaxed; values from VASP
! **DFT formation energy**: -0.18 eV per atom
&SYSTEM
  ibrav = 0, nat = 8, ntyp = 3
/
ATOMIC_SPECIES
Ba 137.33 Ba.upf
Mg 24.30 Mg.upf
Sn 118.71 Sn.upf
ATOMIC_POSITIONS crystal
Ba 0.140 0.224 0.095
Ba 0.224 0.140 0.595
Ba 0.776 0.860 0.405
Ba 0.860 0.776 0.905
Mg 0.299 0.701 0.750
Mg 0.701 0.299 0.250
Sn 0.205 0.795 0.250
Sn 0.795 0.205 0.750
CELL_PARAMETERS angstrom
6.162 -2.952 0.000
6.162 2.952 0.000
-5.474 0.000 9.924



! GGA-PBE BaMgSn2, relaxed; values from VASP
! **DFT formation energy**: -0.23 eV per atom
&SYSTEM
  ibrav = 0, nat = 8, ntyp = 3
/
ATOMIC_SPECIES
Ba 137.33 Ba.upf
Mg 24.30 Mg.upf
Sn 118.71 Sn.upf
ATOMIC_POSITIONS crystal
Ba 0.000 0.000 0.000
Ba 0.750 0.250 0.500
Mg 0.250 0.750 0.500
Mg 0.500 0.500 0.000
Sn 0.240 0.625 0.115
Sn 0.375 0.490 0.615
Sn 0.510 0.125 0.885
Sn 0.875 0.760 0.385
CELL_PARAMETERS angstrom
-2.757 2.757 9.793
2.757 -2.757 9.793
2.757 2.757 -9.793



! GGA-PBE BaMg3Sn3, relaxed; values from VASP
! **DFT formation energy**: -0.32 eV per atom
! **Relative energy among the computed polymorphs**: 0.000 kcal/mol of atoms
&SYSTEM
  ibrav = 0, nat = 14, ntyp = 3
/
ATOMIC_SPECIES
Ba 137.33 Ba.upf
Mg 24.30 Mg.upf
Sn 118.71 Sn.upf
ATOMIC_POSITIONS crystal
Ba 0.068 0.250 0.202
Ba 0.932 0.750 0.798
Mg 0.225 0.250 0.633
Mg 0.379 0.750 0.003
Mg 0.480 0.750 0.594
Mg 0.520 0.250 0.406
Mg 0.621 0.250 0.997
Mg 0.775 0.750 0.367
Sn 0.123 0.750 0.474
Sn 0.249 0.250 0.902
Sn 0.410 0.750 0.284
Sn 0.590 0.250 0.716
Sn 0.751 0.750 0.098
Sn 0.877 0.250 0.526
CELL_PARAMETERS angstrom
7.930 0.000 0.000
0.000 4.993 0.000
-0.740 0.000 10.638



! GGA-PBE BaMgSn4, relaxed; values from VASP
! **DFT formation energy**: -0.23 eV per atom
! **Relative energy among the computed polymorphs**: 0.000 kcal/mol of atoms
&SYSTEM
  ibrav = 0, nat = 6, ntyp = 3
/
ATOMIC_SPECIES
Ba 137.33 Ba.upf
Mg 24.30 Mg.upf
Sn 118.71 Sn.upf
ATOMIC_POSITIONS crystal
Ba 0.000 0.000 0.000
Mg 0.750 0.750 0.750
Sn 0.376 0.376 0.376
Sn 0.376 0.376 0.873
Sn 0.376 0.873 0.376
Sn 0.873 0.376 0.376
CELL_PARAMETERS angstrom
0.000 4.507 4.507
4.507 0.000 4.507
4.507 4.507 0.000



! GGA-PBE BaMg6Sn12, relaxed; values from VASP
! **DFT formation energy**: 0.00 eV per atom
&SYSTEM
  ibrav = 0, nat = 19, ntyp = 3
/
ATOMIC_SPECIES
Ba 137.33 Ba.upf
Mg 24.30 Mg.upf
Sn 118.71 Sn.upf
ATOMIC_POSITIONS crystal
Ba 0.000 0.000 0.000
Mg 0.143 0.643 0.500
Mg 0.357 0.500 0.857
Mg 0.500 0.143 0.643
Mg 0.500 0.857 0.357
Mg 0.643 0.500 0.143
Mg 0.857 0.357 0.500
Sn 0.086 0.811 0.275
Sn 0.189 0.275 0.463
Sn 0.189 0.725 0.914
Sn 0.275 0.086 0.811
Sn 0.275 0.463 0.189
Sn 0.463 0.189 0.275
Sn 0.537 0.811 0.725
Sn 0.725 0.537 0.811
Sn 0.725 0.914 0.189
Sn 0.811 0.275 0.086
Sn 0.811 0.725 0.537
Sn 0.914 0.189 0.725
CELL_PARAMETERS angstrom
-5.073 5.073 5.073
5.073 -5.073 5.073
5.073 5.073 -5.073



! GGA-PBE BaMgSn2, relaxed; values from VASP
! **DFT formation energy**: -0.37 eV per atom
&SYSTEM
  ibrav = 0, nat = 4, ntyp = 3
/
ATOMIC_SPECIES
Ba 137.33 Ba.upf
Mg 24.30 Mg.upf
Sn 118.71 Sn.upf
ATOMIC_POSITIONS crystal
Ba 0.000 0.000 0.000
Mg 0.000 0.000 0.500
Sn 0.500 0.500 0.307
Sn 0.500 0.500 0.693
CELL_PARAMETERS angstrom
3.981 0.000 0.000
0.000 3.981 0.000
0.000 0.000 7.677



| no. | DOS at the Fermi energy (states/eV per atom) |
| --- | --- |
| 1 | 0.762 |
| 2 | 0.524 |
| 3 | 0.805 |
| 4 | 0.275 |
| 5 | 0.277 |
| 6 | 1.187 |
| 7 | 0.586 |
| 8 | 0.652 |